No. 1
Material: Zr2CrAu
Method: DFT, PBE
State: relaxed

Energy above the most stable polymorph in this dataset (meV per atom): 620.2
Fermi-level density of states (states/eV per atom): 0.8446
Space-group type: I-42d, No. 122
Total moment (μB/f.u.): 3.284

a b c (Å): 4.131 4.131 19.774
angles (deg): 90.00 90.00 90.00
Atoms (fractional coordinates):
Zr  0.250  0.250  0.125
Zr  0.250  0.250  0.625
Zr  0.250  0.750  0.375
Zr  0.250  0.750  0.875
Zr  0.750  0.250  0.375
Zr  0.750  0.250  0.875
Zr  0.750  0.750  0.125
Zr  0.750  0.750  0.625
Cr  0.000  0.000  0.000
Cr  0.000  0.500  0.250
Cr  0.500  0.000  0.750
Cr  0.500  0.500  0.500
Au  0.000  0.000  0.500
Au  0.000  0.500  0.750
Au  0.500  0.000  0.250
Au  0.500  0.500  0.000



No. 2
Material: Dy5CoTe2
Method: DFT, PBE
State: relaxed

Energy above the most stable polymorph in this dataset (meV per atom): 0.0
Raw formation energy (kJ/mol of formula units): -562
Fermi-level density of states (states/eV per atom): 0.9522
Space-group type: Pbam, No. 55
Total moment (μB/f.u.): 0.000

a b c (Å): 8.180 13.021 4.040
angles (deg): 90.00 90.00 90.00
Atoms (fractional coordinates):
Dy  0.000  0.000  0.000
Dy  0.161  0.320  0.000
Dy  0.166  0.580  0.500
Dy  0.334  0.080  0.500
Dy  0.339  0.820  0.000
Dy  0.500  0.500  0.000
Dy  0.661  0.180  0.000
Dy  0.666  0.920  0.500
Dy  0.834  0.420  0.500
Dy  0.839  0.680  0.000
Co  0.000  0.500  0.000
Co  0.500  0.000  0.000
Te  0.040  0.819  0.500
Te  0.460  0.319  0.500
Te  0.540  0.681  0.500
Te  0.960  0.181  0.500